DFT (PBE-GGA) results for crystalline KTlI2Br6 at its relaxed geometry.

Unit cell a=7.1982 b=8.1960 c=8.3776 alpha=94.55 beta=111.56 gamma=112.19
Space group P1 (No. 1)
One atom of each set of equivalent atoms:
K  0.0000  0.0000  0.0000
Tl  0.0000  0.5004  0.4993
I  0.3217  0.7338  0.0983
I  0.6795  0.2674  0.9010
Br  0.1666  0.3027  0.3983
Br  0.1869  0.8059  0.3501
Br  0.4361  0.6731  0.8318
Br  0.5645  0.3282  0.1672
Br  0.8149  0.1954  0.6498
Br  0.8340  0.6983  0.6010

Output
M_tot in μB per formula unit: 0.00
Crystal system: triclinic
Formation energy without anion corrections in eV/atom: -0.540

***

DFT (PBE-GGA) results for crystalline K2Tl3I3Br2 at its relaxed geometry.

Unit cell a=5.3387 b=5.3387 c=33.3536 alpha=90.00 beta=90.00 gamma=90.00
Space group I4/mmm (No. 139)
One atom of each set of equivalent atoms:
K  0.0000  0.5000  0.2500
Tl  0.0000  0.0000  0.0000
Tl  0.0000  0.0000  0.3987
I  0.0000  0.0000  0.1064
I  0.0000  0.0000  0.5000
Br  0.0000  0.0000  0.2972

Output
M_tot in μB per formula unit: 0.00
Crystal system: tetragonal
Fermi-level density of states in states/eV per atom: 0.000
Formation energy without anion corrections in eV/atom: -0.976

***

DFT (PBE-GGA) results for crystalline KTlIBr at its relaxed geometry.

Unit cell a=4.7640 b=4.7640 c=25.3728 alpha=90.00 beta=90.00 gamma=120.00
Space group R3m (No. 160, hexagonal axes)
One atom of each set of equivalent atoms:
K  0.0000  0.0000  0.0000
Tl  0.0000  0.0000  0.1584
I  0.0000  0.0000  0.5775
Br  0.0000  0.0000  0.4069

Output
M_tot in μB per formula unit: 0.00
Crystal system: trigonal
Fermi-level density of states in states/eV per atom: 0.000
Formation energy without anion corrections in eV/atom: -1.162

***

DFT (PBE-GGA) results for crystalline K2UI2Br4 at its relaxed geometry.

Unit cell a=14.0623 b=7.9107 c=8.1451 alpha=90.00 beta=122.43 gamma=90.00
Space group C2/m (No. 12)
One atom of each set of equivalent atoms:
K  0.2478  0.0000  0.2050
U  0.0000  0.5000  0.0000
I  0.2417  0.5000  0.3469
Br  0.0589  0.2539  0.8261

Output
M_tot in μB per formula unit: 2.00
Crystal system: monoclinic
Fermi-level density of states in states/eV per atom: 0.521
Formation energy without anion corrections in eV/atom: -1.404

***

DFT (PBE-GGA) results for crystalline K3UI2Br6 at its relaxed geometry.

Unit cell a=6.4196 b=9.6150 c=9.8519 alpha=119.05 beta=90.08 gamma=90.79
Space group P-1 (No. 2)
One atom of each set of equivalent atoms:
K  0.0000  0.0000  0.0000
K  0.0000  0.5000  0.0000
K  0.5000  0.0000  0.5000
U  0.0000  0.5000  0.5000
I  0.3457  0.8143  0.1233
Br  0.2311  0.3622  0.6314
Br  0.2424  0.3751  0.2454
Br  0.2425  0.7664  0.6368

Output
M_tot in μB per formula unit: 0.82
Crystal system: triclinic
Formation energy without anion corrections in eV/atom: -1.378

***

DFT (PBE-GGA) results for crystalline K2VI4Br2 at its relaxed geometry.

Unit cell a=12.9825 b=8.1740 c=8.1827 alpha=90.00 beta=128.81 gamma=90.00
Space group C2/m (No. 12)
One atom of each set of equivalent atoms:
K  0.2487  0.0000  0.2212
V  0.0000  0.0000  0.5000
I  0.0312  0.2389  0.2948
Br  0.2387  0.0000  0.7852

Output
M_tot in μB per formula unit: 0.98
Crystal system: monoclinic
Fermi-level density of states in states/eV per atom: 0.609
Formation energy without anion corrections in eV/atom: -0.952

***

DFT (PBE-GGA) results for crystalline K2VI2Br4 at its relaxed geometry.

Unit cell a=13.2491 b=7.5343 c=7.7410 alpha=90.00 beta=124.09 gamma=90.00
Space group C2/m (No. 12)
One atom of each set of equivalent atoms:
K  0.2479  0.0000  0.2150
V  0.0000  0.5000  0.0000
I  0.2453  0.5000  0.3116
Br  0.0336  0.2662  0.8091

Output
M_tot in μB per formula unit: 1.00
Crystal system: monoclinic
Fermi-level density of states in states/eV per atom: 0.786
Formation energy without anion corrections in eV/atom: -1.075

***

DFT (PBE-GGA) results for crystalline KVIBr2 at its relaxed geometry.

Unit cell a=5.2959 b=5.2959 c=5.7393 alpha=90.00 beta=90.00 gamma=90.00
Space group P4/mmm (No. 123)
One atom of each set of equivalent atoms:
K  0.0000  0.0000  0.0000
V  0.5000  0.5000  0.5000
I  0.5000  0.5000  0.0000
Br  0.0000  0.5000  0.5000

Output
M_tot in μB per formula unit: 3.00
Crystal system: tetragonal
Fermi-level density of states in states/eV per atom: 0.213
Formation energy without anion corrections in eV/atom: -0.953